Density functional theory data (PBE-GGA) for a relaxed structure of RbMgRh2.

```
RbMgRh2
1.0
-2.416 2.416 9.254
2.416 -2.416 9.254
2.416 2.416 -9.254
Rb Mg Rh
2 2 4
direct
0.000 0.000 0.000
0.750 0.250 0.500
0.250 0.750 0.500
0.500 0.500 0.000
0.302 0.625 0.177
0.375 0.552 0.677
0.448 0.125 0.823
0.875 0.698 0.323
```

Properties
energy = -29.83 eV per cell
DOS(E_F) = 5.71 states/eV/f.u.
magnetization = 0.000 μB per atom
DFT formation energy = 0.59 eV per atom


Density functional theory data (PBE-GGA) for a relaxed structure of RbMgRh3.

```
RbMgRh3
1.0
4.840 0.000 0.000
0.000 4.840 0.000
0.000 0.000 4.840
Rb Mg Rh
1 1 3
direct
0.000 0.000 0.000
0.500 0.500 0.500
0.000 0.000 0.500
0.000 0.500 0.000
0.500 0.000 0.000
```

Properties
energy = -14.98 eV per cell
DOS(E_F) = 5.15 states/eV/f.u.
magnetization = 0.196 μB per atom
DFT formation energy = 1.93 eV per atom
polymorph energy (0 for the lowest one) = 887 meV/atom


Density functional theory data (PBE-GGA) for a relaxed structure of RbMg2RhSe.

```
RbMg2RhSe
1.0
5.801 0.000 0.000
0.000 5.801 0.000
0.000 0.000 5.655
Rb Mg Rh Se
1 2 1 1
direct
0.000 0.000 0.000
0.000 0.500 0.000
0.500 0.000 0.000
0.500 0.500 0.500
0.000 0.000 0.500
```

Properties
energy = -7.17 eV per cell
DOS(E_F) = 13.16 states/eV/f.u.
magnetization = 0.000 μB per atom
uncorrected formation energy = 1.56 eV/atom